1.
10
Lattice="5.7324 0.0000 0.0000 2.8652 4.9659 0.0000 2.8652 1.6544 6.4921" Properties=species:S:1:pos:R:3 comment="Nd2InHPt6 (PBE, optimized geometry)" dos_at_fermi_per_ev_atom=0.461 crystal_system=triclinic e_tot_ev_per_atom=-5.88 pbc="T T T"
Nd 2.8669 1.6571 2.1659
Nd 8.5959 4.9631 4.3261
In 5.7314 3.3101 3.2460
H 0.0000 0.0000 0.0000
Pt 5.7291 4.9582 5.3370
Pt 4.2984 2.4802 5.3301
Pt 4.3028 4.1396 1.1585
Pt 7.1601 2.4806 5.3336
Pt 7.1645 4.1400 1.1619
Pt 5.7337 1.6620 1.1551


2.
14
Lattice="3.3306 -8.7955 0.0000 3.3306 8.7955 0.0000 0.0000 0.0000 6.6432" Properties=species:S:1:pos:R:3 comment="Nd4InSnH (PBE, optimized geometry)" dos_at_fermi_per_ev_atom=0.923 crystal_system=orthorhombic e_tot_ev_per_atom=-4.67 pbc="T T T"
Nd 1.6653 4.3977 0.0000
Nd 1.6653 4.3977 3.3216
Nd 3.3306 7.5584 4.9824
Nd 3.3306 1.2567 4.9824
Nd 1.6653 -4.3977 0.0000
Nd 1.6653 -4.3977 3.3216
Nd 3.3306 -1.2567 1.6608
Nd 3.3306 -7.5584 1.6608
In 3.3306 6.7915 1.6608
In 3.3306 -6.7915 4.9824
Sn 3.3306 1.9859 1.6608
Sn 3.3306 -1.9859 4.9824
H 3.3306 5.1455 4.9824
H 3.3306 -5.1455 1.6608


3.
14
Lattice="3.3474 -8.7391 0.0000 3.3474 8.7391 0.0000 0.0000 0.0000 6.7066" Properties=species:S:1:pos:R:3 comment="Nd4TlInH (PBE, optimized geometry)" dos_at_fermi_per_ev_atom=0.910 crystal_system=orthorhombic e_tot_ev_per_atom=-4.29 pbc="T T T"
Nd 1.6737 4.3695 0.0000
Nd 1.6737 4.3695 3.3533
Nd 3.3474 7.5088 5.0299
Nd 3.3474 1.2340 5.0299
Nd 1.6737 -4.3695 0.0000
Nd 1.6737 -4.3695 3.3533
Nd 3.3474 -1.2340 1.6766
Nd 3.3474 -7.5088 1.6766
Tl 3.3474 6.7666 1.6766
Tl 3.3474 -6.7666 5.0299
In 3.3474 1.9989 1.6766
In 3.3474 -1.9989 5.0299
H 3.3474 3.6380 5.0299
H 3.3474 -3.6380 1.6766


Q: Which formula does entry 3 have?
A: Nd4TlInH